Density functional theory data (GGA-PBEsol) for a geometry-optimized CdHgP2 structure.

abc: 5.3715 7.4892 3.7962
angles: 90.00 90.00 90.00
Closest atoms and distances in Å follow each position.
Space group Cmmm (No. 65)
One atom of each set of equivalent atoms:
Cd (0.0000, 0.0000, 0.0000)  2 Hg 2.69, 8 P 2.99
Hg (0.0000, 0.5000, 0.0000)  2 Cd 2.69, 8 P 2.99
P (0.2500, 0.2500, 0.5000)  2 P 2.69, 4 Hg 2.99, 4 Cd 2.99

Computed properties:
Calculated total energy ... -22.896 eV/cell
E_form ... 183 kJ/mol of formula units
Offset from the most stable computed form ... 152.0 meV/atom


Density functional theory data (GGA-PBEsol) for a geometry-optimized KP2BrCl structure.

abc: 4.7391 4.7391 6.9797
angles: 90.00 90.00 90.00
Closest atoms and distances in Å follow each position.
Space group P4/mmm (No. 123)
One atom of each set of equivalent atoms:
K (0.0000, 0.0000, 0.0000)  4 Cl 3.35
P (0.0000, 0.5000, 0.5000)  2 Br 2.37
Br (0.5000, 0.5000, 0.5000)  4 P 2.37
Cl (0.5000, 0.5000, 0.0000)  4 K 3.35, 2 Br 3.49

Computed properties:
Calculated total energy ... -14.590 eV/cell
Energy relative to the elements, uncorrected ... 2.004 eV/f.u.


Density functional theory data (GGA-PBEsol) for a geometry-optimized LiCrP2S7 structure.

abc: 8.5732 9.4417 7.9842
angles: 90.00 121.90 90.00
Closest atoms and distances in Å follow each position.
Space group C2 (No. 5)
One atom of each set of equivalent atoms:
Li (0.0000, 0.0000, 0.0000)  4 S 2.48-2.56
Cr (0.0000, 0.7157, 0.5000)  6 S 2.37-2.42
P (0.1606, 0.0735, 0.4363)  4 S 2.02-2.12
S (0.0000, 0.2079, 0.5000)  2 P 2.12
S (0.0257, 0.8924, 0.2966)  1 P 2.04
S (0.0792, 0.5484, 0.3346)  1 P 2.02
S (0.1865, 0.1986, 0.2439)  1 P 2.04

Computed properties:
Calculated total energy ... -119.329 eV/cell
Energy relative to the elements, uncorrected ... -5.184 eV/f.u.


Density functional theory data (GGA-PBEsol) for a geometry-optimized TaMn2Mo structure.

abc: 3.1055 4.3673 8.0538
angles: 90.00 90.00 90.00
Closest atoms and distances in Å follow each position.
Space group Cmmm (No. 65)
One atom of each set of equivalent atoms:
Ta (0.0000, 0.0000, 0.0000)  4 Mn 2.58, 4 Ta 2.68
Mn (0.0000, 0.5000, 0.2560)  2 Mo 2.50, 2 Ta 2.58, 4 Mn 2.68
Mo (0.0000, 0.0000, 0.5000)  4 Mn 2.50, 4 Mo 2.68

Computed properties:
Calculated total energy ... -86.545 eV/cell
E_form ... 55 kJ/mol of formula units
Offset from the most stable computed form ... 57.8 meV/atom